## YSbNF2 (PBEsol)

Data for an optimized crystal structure of YSbNF2.

Structure (CIF):
```
data_YSbNF2
_chemical_formula_sum 'Y1 Sb1 N1 F2'
_symmetry_space_group_name_H-M 'P 4/m m m'
_symmetry_Int_Tables_number 123
_symmetry_space_group_name_Hall '-P 4 2'
_cell_length_a 4.4016
_cell_length_b 4.4016
_cell_length_c 4.3406
_cell_angle_alpha 90.00
_cell_angle_beta 90.00
_cell_angle_gamma 90.00
loop_
_atom_site_label
_atom_site_fract_x
_atom_site_fract_y
_atom_site_fract_z
Y1 0.0000 0.0000 0.0000
Sb1 0.5000 0.5000 0.5000
N1 0.5000 0.5000 0.0000
F1 0.0000 0.5000 0.5000
```

Summary:
The calculation puts the raw formation energy at -0.917 eV per atom. The value obtained for the mass density is 5.187 Mg/m³. For the uncorrected energy, the calculation gives -0.2083 Ha/atom.